! GdErCo | the Open Quantum Materials Database | PBE-GGA | optimized geometry; values from VASP
&SYSTEM
  ibrav = 0, nat = 3, ntyp = 3
/
ATOMIC_SPECIES
Gd 157.25 Gd.upf
Er 167.26 Er.upf
Co 58.93 Co.upf
ATOMIC_POSITIONS crystal
Gd 0.000 0.000 0.000
Er 0.250 0.250 0.250
Co 0.750 0.750 0.750
CELL_PARAMETERS angstrom
0.000 3.286 3.286
3.286 0.000 3.286
3.286 3.286 0.000
! symmetry	F-43m (216)
! DFT formation energy	0.820	eV per atom
! magnetic moment	0.00	μB per atom

! GdErCo2 | the Open Quantum Materials Database | PBE-GGA | optimized geometry; values from VASP
&SYSTEM
  ibrav = 0, nat = 8, ntyp = 3
/
ATOMIC_SPECIES
Gd 157.25 Gd.upf
Er 167.26 Er.upf
Co 58.93 Co.upf
ATOMIC_POSITIONS crystal
Gd 0.000 0.131 0.000
Gd 0.000 0.869 0.500
Er 0.500 0.370 0.644
Er 0.500 0.630 0.144
Co 0.000 0.357 0.352
Co 0.000 0.643 0.852
Co 0.500 0.154 0.296
Co 0.500 0.846 0.796
CELL_PARAMETERS angstrom
3.886 0.000 0.000
0.000 5.502 0.000
0.000 0.000 7.351
! symmetry	Pmc2_1 (26)
! DFT formation energy	-0.200	eV per atom
! magnetic moment	0.00	μB per atom

! Gd2Er2Co | the Open Quantum Materials Database | PBE-GGA | optimized geometry; values from VASP
&SYSTEM
  ibrav = 0, nat = 10, ntyp = 3
/
ATOMIC_SPECIES
Gd 157.25 Gd.upf
Er 167.26 Er.upf
Co 58.93 Co.upf
ATOMIC_POSITIONS crystal
Gd 0.013 0.013 0.163
Gd 0.375 0.375 0.303
Gd 0.625 0.625 0.697
Gd 0.987 0.987 0.837
Er 0.148 0.148 0.486
Er 0.325 0.325 0.928
Er 0.675 0.675 0.072
Er 0.852 0.852 0.514
Co 0.387 0.387 0.686
Co 0.613 0.613 0.314
CELL_PARAMETERS angstrom
5.761 -2.355 0.000
5.761 2.355 0.000
-4.701 0.000 9.610
! symmetry	C2/m (12)
! DFT formation energy	-0.028	eV per atom
! magnetic moment	0.00	μB per atom

! GdErCo2I2 | the Open Quantum Materials Database | PBE-GGA | optimized geometry; values from VASP
&SYSTEM
  ibrav = 0, nat = 6, ntyp = 4
/
ATOMIC_SPECIES
Gd 157.25 Gd.upf
Er 167.26 Er.upf
Co 58.93 Co.upf
I 126.90 I.upf
ATOMIC_POSITIONS crystal
Gd 0.000 0.000 0.000
Er 0.000 0.000 0.703
Co 0.333 0.667 0.846
Co 0.667 0.333 0.853
I 0.333 0.667 0.177
I 0.667 0.333 0.529
CELL_PARAMETERS angstrom
3.970 0.000 0.000
-1.985 3.438 0.000
0.000 0.000 12.253
! symmetry	P3m1 (156)
! magnetic moment	0.07	μB per atom
! calculated total energy	-5.212	eV per atom